1.
DFT (PBE-GGA) results for a relaxed structure of CaDyHgGe.

Properties
**Space-group type**: No. 216
**Energy relative to the elements**: -0.54 eV/atom
**Uncorrected energy**: -13.70 eV per cell
**Calculated volume**: 24.9 Å³/atom

Structure (POSCAR):
```
CaDyHgGe
1.0
0.0000 3.6775 3.6775
3.6775 0.0000 3.6775
3.6775 3.6775 0.0000
Ca Dy Hg Ge
1 1 1 1
Direct
0.0000 0.0000 0.0000 Ca
0.5000 0.5000 0.5000 Dy
0.2500 0.2500 0.2500 Hg
0.7500 0.7500 0.7500 Ge
```

***

2.
DFT (PBE-GGA) results for a relaxed structure of LiCaDyGe.

Properties
**Space-group type**: No. 216
**Energy relative to the elements**: -0.37 eV/atom
**Uncorrected energy**: -14.61 eV per cell
**Calculated volume**: 23.3 Å³/atom

Structure (POSCAR):
```
LiCaDyGe
1.0
0.0000 3.6002 3.6002
3.6002 0.0000 3.6002
3.6002 3.6002 0.0000
Li Ca Dy Ge
1 1 1 1
Direct
0.0000 0.0000 0.0000 Li
0.7500 0.7500 0.7500 Ca
0.2500 0.2500 0.2500 Dy
0.5000 0.5000 0.5000 Ge
```

***

3.
DFT (PBE-GGA) results for a relaxed structure of CaDyGePd.

Properties
**Space-group type**: No. 216
**Energy relative to the elements**: -0.72 eV/atom
**Uncorrected energy**: -19.30 eV per cell
**Calculated volume**: 22.3 Å³/atom

Structure (POSCAR):
```
CaDyGePd
1.0
0.0000 3.5467 3.5467
3.5467 0.0000 3.5467
3.5467 3.5467 0.0000
Ca Dy Ge Pd
1 1 1 1
Direct
0.0000 0.0000 0.0000 Ca
0.5000 0.5000 0.5000 Dy
0.7500 0.7500 0.7500 Ge
0.2500 0.2500 0.2500 Pd
```

***

4.
DFT (PBE-GGA) results for a relaxed structure of CaDyGe2Pd5.

Properties
**Space-group type**: No. 123
**Energy relative to the elements**: -0.72 eV/atom
**Uncorrected energy**: -48.30 eV per cell
**Calculated volume**: 18.2 Å³/atom

Structure (POSCAR):
```
CaDyGe2Pd5
1.0
4.2867 0.0000 0.0000
0.0000 4.2867 0.0000
0.0000 0.0000 8.9290
Ca Dy Ge Pd
1 1 2 5
Direct
0.0000 0.0000 0.0000 Ca
0.0000 0.0000 0.5000 Dy
0.5000 0.5000 0.3622 Ge
0.5000 0.5000 0.6378 Ge
0.0000 0.5000 0.2283 Pd
0.0000 0.5000 0.7717 Pd
0.5000 0.0000 0.2283 Pd
0.5000 0.0000 0.7717 Pd
0.5000 0.5000 0.0000 Pd
```

***

5.
DFT (PBE-GGA) results for a relaxed structure of Ca2DyGe3Pt4.

Properties
**Space-group type**: No. 115
**Energy relative to the elements**: -0.88 eV/atom
**Uncorrected energy**: -55.44 eV per cell
**Calculated volume**: 20.6 Å³/atom

Structure (POSCAR):
```
Ca2DyGe3Pt4
1.0
4.2884 0.0000 0.0000
0.0000 4.2884 0.0000
0.0000 0.0000 11.1863
Ca Dy Ge Pt
2 1 3 4
Direct
0.0000 0.5000 0.2279 Ca
0.5000 0.0000 0.7721 Ca
0.0000 0.0000 0.5000 Dy
0.0000 0.5000 0.8766 Ge
0.5000 0.0000 0.1234 Ge
0.5000 0.5000 0.5000 Ge
0.0000 0.0000 0.0000 Pt
0.0000 0.5000 0.6588 Pt
0.5000 0.0000 0.3412 Pt
0.5000 0.5000 0.0000 Pt
```

***

6.
DFT (PBE-GGA) results for a relaxed structure of CaDyGePt.

Properties
**Space-group type**: No. 216
**Energy relative to the elements**: -0.82 eV/atom
**Uncorrected energy**: -20.56 eV per cell
**Calculated volume**: 22.2 Å³/atom

Structure (POSCAR):
```
CaDyGePt
1.0
0.0000 3.5394 3.5394
3.5394 0.0000 3.5394
3.5394 3.5394 0.0000
Ca Dy Ge Pt
1 1 1 1
Direct
0.0000 0.0000 0.0000 Ca
0.5000 0.5000 0.5000 Dy
0.7500 0.7500 0.7500 Ge
0.2500 0.2500 0.2500 Pt
```

***

7.
DFT (PBE-GGA) results for a relaxed structure of CaDyGeRh.

Properties
**Space-group type**: No. 216
**Energy relative to the elements**: -0.58 eV/atom
**Uncorrected energy**: -20.89 eV per cell
**Calculated volume**: 21.5 Å³/atom

Structure (POSCAR):
```
CaDyGeRh
1.0
0.0000 3.5038 3.5038
3.5038 0.0000 3.5038
3.5038 3.5038 0.0000
Ca Dy Ge Rh
1 1 1 1
Direct
0.0000 0.0000 0.0000 Ca
0.5000 0.5000 0.5000 Dy
0.7500 0.7500 0.7500 Ge
0.2500 0.2500 0.2500 Rh
```

***

8.
DFT (PBE-GGA) results for a relaxed structure of CaDyTlGe.

Properties
**Space-group type**: No. 216
**Energy relative to the elements**: -0.42 eV/atom
**Uncorrected energy**: -15.26 eV per cell
**Calculated volume**: 25.8 Å³/atom

Structure (POSCAR):
```
CaDyTlGe
1.0
0.0000 3.7253 3.7253
3.7253 0.0000 3.7253
3.7253 3.7253 0.0000
Ca Dy Tl Ge
1 1 1 1
Direct
0.0000 0.0000 0.0000 Ca
0.5000 0.5000 0.5000 Dy
0.7500 0.7500 0.7500 Tl
0.2500 0.2500 0.2500 Ge
```

***

9.
DFT (PBE-GGA) results for a relaxed structure of CaDyZnGe.

Properties
**Space-group type**: No. 216
**Energy relative to the elements**: -0.46 eV/atom
**Uncorrected energy**: -14.32 eV per cell
**Calculated volume**: 23.1 Å³/atom

Structure (POSCAR):
```
CaDyZnGe
1.0
0.0000 3.5895 3.5895
3.5895 0.0000 3.5895
3.5895 3.5895 0.0000
Ca Dy Zn Ge
1 1 1 1
Direct
0.0000 0.0000 0.0000 Ca
0.5000 0.5000 0.5000 Dy
0.2500 0.2500 0.2500 Zn
0.7500 0.7500 0.7500 Ge
```

***

10.
DFT (PBE-GGA) results for a relaxed structure of CaDy2Zn2Ge2.

Properties
**Space-group type**: No. 166
**Energy relative to the elements**: -0.39 eV/atom
**Uncorrected energy**: -25.73 eV per cell
**Calculated volume**: 24.2 Å³/atom

Structure (POSCAR):
```
CaDy2Zn2Ge2
1.0
2.0928 1.2083 11.1618
-2.0928 1.2083 11.1618
0.0000 -2.4166 11.1618
Ca Dy Zn Ge
1 2 2 2
Direct
0.0000 0.0000 0.0000 Ca
0.1233 0.1233 0.1233 Dy
0.8767 0.8767 0.8767 Dy
0.4024 0.4024 0.4024 Zn
0.5976 0.5976 0.5976 Zn
0.2700 0.2700 0.2700 Ge
0.7300 0.7300 0.7300 Ge
```

***

11.
DFT (PBE-GGA) results for a relaxed structure of Ca5Dy3H12.

Properties
**Space-group type**: No. 230
**Uncorrected energy**: -287.02 eV per cell
**Calculated volume**: 14.5 Å³/atom

Structure (POSCAR):
```
Ca5Dy3H12
1.0
-6.6126 6.6126 6.6126
6.6126 -6.6126 6.6126
6.6126 6.6126 -6.6126
Ca Dy H
20 12 48
Direct
0.0000 0.0000 0.0000 Ca
0.0000 0.0000 0.5000 Ca
0.0000 0.5000 0.0000 Ca
0.0000 0.5000 0.5000 Ca
0.1250 0.7500 0.8750 Ca
0.1250 0.8750 0.2500 Ca
0.2500 0.1250 0.8750 Ca
0.2500 0.6250 0.3750 Ca
0.3750 0.2500 0.6250 Ca
0.3750 0.6250 0.7500 Ca
0.5000 0.0000 0.0000 Ca
0.5000 0.0000 0.5000 Ca
0.5000 0.5000 0.0000 Ca
0.5000 0.5000 0.5000 Ca
0.6250 0.3750 0.2500 Ca
0.6250 0.7500 0.3750 Ca
0.7500 0.3750 0.6250 Ca
0.7500 0.8750 0.1250 Ca
0.8750 0.1250 0.7500 Ca
0.8750 0.2500 0.1250 Ca
0.1250 0.2500 0.3750 Dy
0.1250 0.3750 0.7500 Dy
0.2500 0.3750 0.1250 Dy
0.2500 0.8750 0.6250 Dy
0.3750 0.1250 0.2500 Dy
0.3750 0.7500 0.1250 Dy
0.6250 0.2500 0.8750 Dy
0.6250 0.8750 0.7500 Dy
0.7500 0.1250 0.3750 Dy
0.7500 0.6250 0.8750 Dy
0.8750 0.6250 0.2500 Dy
0.8750 0.7500 0.6250 Dy
0.0672 0.2281 0.1533 H
0.0672 0.3391 0.9139 H
0.0748 0.7281 0.6609 H
0.0748 0.8467 0.4139 H
0.0861 0.6533 0.4252 H
0.0861 0.9328 0.6609 H
0.1533 0.0672 0.2281 H
0.1533 0.5861 0.9252 H
0.1609 0.2281 0.5748 H
0.1609 0.4328 0.5861 H
0.2281 0.1533 0.0672 H
0.2281 0.5748 0.1609 H
0.2719 0.3391 0.9252 H
0.2719 0.4328 0.3467 H
0.3391 0.9139 0.0672 H
0.3391 0.9252 0.2719 H
0.3467 0.2719 0.4328 H
0.3467 0.5748 0.9139 H
0.4139 0.0748 0.8467 H
0.4139 0.8391 0.5672 H
0.4252 0.0861 0.6533 H
0.4252 0.8391 0.7719 H
0.4328 0.3467 0.2719 H
0.4328 0.5861 0.1609 H
0.5672 0.4139 0.8391 H
0.5672 0.6533 0.7281 H
0.5748 0.1609 0.2281 H
0.5748 0.9139 0.3467 H
0.5861 0.1609 0.4328 H
0.5861 0.9252 0.1533 H
0.6533 0.4252 0.0861 H
0.6533 0.7281 0.5672 H
0.6609 0.0748 0.7281 H
0.6609 0.0861 0.9328 H
0.7281 0.5672 0.6533 H
0.7281 0.6609 0.0748 H
0.7719 0.4252 0.8391 H
0.7719 0.8467 0.9328 H
0.8391 0.5672 0.4139 H
0.8391 0.7719 0.4252 H
0.8467 0.4139 0.0748 H
0.8467 0.9328 0.7719 H
0.9139 0.0672 0.3391 H
0.9139 0.3467 0.5748 H
0.9252 0.1533 0.5861 H
0.9252 0.2719 0.3391 H
0.9328 0.6609 0.0861 H
0.9328 0.7719 0.8467 H
```

***

12.
DFT (PBE-GGA) results for a relaxed structure of CaDy3H.

Properties
**Space-group type**: No. 221
**Uncorrected energy**: -19.50 eV per cell
**Calculated volume**: 25.7 Å³/atom

Structure (POSCAR):
```
CaDy3H
1.0
5.0481 0.0000 0.0000
0.0000 5.0481 0.0000
0.0000 0.0000 5.0481
Ca Dy H
1 3 1
Direct
0.0000 0.0000 0.0000 Ca
0.0000 0.5000 0.5000 Dy
0.5000 0.0000 0.5000 Dy
0.5000 0.5000 0.0000 Dy
0.5000 0.5000 0.5000 H
```

***

13.
DFT (PBE-GGA) results for a relaxed structure of CaDy2H.

Properties
**Space-group type**: No. 166
**Uncorrected energy**: -14.65 eV per cell
**Calculated volume**: 26.2 Å³/atom

Structure (POSCAR):
```
CaDy2H
1.0
1.7877 1.0322 9.4707
-1.7877 1.0322 9.4707
0.0000 -2.0643 9.4707
Ca Dy H
1 2 1
Direct
0.0000 0.0000 0.0000 Ca
0.1198 0.1198 0.1198 Dy
0.8802 0.8802 0.8802 Dy
0.5000 0.5000 0.5000 H
```

***

14.
DFT (PBE-GGA) results for a relaxed structure of CaDyH2.

Properties
**Space-group type**: No. 160
**Uncorrected energy**: -14.47 eV per cell
**Calculated volume**: 18.0 Å³/atom
**Energy above the lowest structure with this stoichiometry**: 9 meV per atom

Structure (POSCAR):
```
CaDyH2
1.0
1.8439 1.0646 6.1285
-1.8439 1.0646 6.1285
0.0000 -2.1292 6.1285
Ca Dy H
1 1 2
Direct
0.0000 0.0000 0.0000 Ca
0.8155 0.8155 0.8155 Dy
0.1338 0.1338 0.1338 H
0.4179 0.4179 0.4179 H
```

***

15.
DFT (PBE-GGA) results for a relaxed structure of CaDy2H8.

Properties
**Space-group type**: No. 71
**Uncorrected energy**: -44.64 eV per cell
**Calculated volume**: 9.5 Å³/atom

Structure (POSCAR):
```
CaDy2H8
1.0
-1.8410 2.5815 5.5124
1.8410 -2.5815 5.5124
1.8410 2.5815 -5.5124
Ca Dy H
1 2 8
Direct
0.0000 0.0000 0.0000 Ca
0.3229 0.3229 0.0000 Dy
0.6771 0.6771 0.0000 Dy
0.1166 0.8431 0.2735 H
0.1776 0.6776 0.5000 H
0.2815 0.5000 0.7815 H
0.4304 0.1569 0.2735 H
0.5696 0.8431 0.7265 H
0.7185 0.5000 0.2185 H
0.8224 0.3224 0.5000 H
0.8834 0.1569 0.7265 H
```

***

16.
DFT (PBE-GGA) results for a relaxed structure of Ca2DyH.

Properties
**Space-group type**: No. 166
**Uncorrected energy**: -11.62 eV per cell
**Calculated volume**: 27.3 Å³/atom

Structure (POSCAR):
```
Ca2DyH
1.0
1.7823 1.0290 9.9337
-1.7823 1.0290 9.9337
0.0000 -2.0580 9.9337
Ca Dy H
2 1 1
Direct
0.1169 0.1169 0.1169 Ca
0.8831 0.8831 0.8831 Ca
0.0000 0.0000 0.0000 Dy
0.5000 0.5000 0.5000 H
```

***

17.
DFT (PBE-GGA) results for a relaxed structure of CaDyH2.

Properties
**Space-group type**: No. 166
**Uncorrected energy**: -14.51 eV per cell
**Calculated volume**: 16.9 Å³/atom
**Energy above the lowest structure with this stoichiometry**: 0 meV per atom

Structure (POSCAR):
```
CaDyH2
1.0
1.8190 1.0502 5.9096
-1.8190 1.0502 5.9096
0.0000 -2.1004 5.9096
Ca Dy H
1 1 2
Direct
0.0000 0.0000 0.0000 Ca
0.5000 0.5000 0.5000 Dy
0.2191 0.2191 0.2191 H
0.7809 0.7809 0.7809 H
```

***

18.
DFT (PBE-GGA) results for a relaxed structure of CaDyH6Ir2.

Properties
**Space-group type**: No. 15
**Uncorrected energy**: -98.07 eV per cell
**Calculated volume**: 10.4 Å³/atom

Structure (POSCAR):
```
CaDyH6Ir2
1.0
3.8229 -4.6932 0.0000
3.8229 4.6932 0.0000
-1.8829 0.0000 5.8194
Ca Dy H Ir
2 2 12 4
Direct
0.1570 0.8430 0.7500 Ca
0.8430 0.1570 0.2500 Ca
0.3985 0.6015 0.2500 Dy
0.6015 0.3985 0.7500 Dy
0.0609 0.5646 0.3823 H
0.1828 0.1967 0.0546 H
0.1967 0.1828 0.5546 H
0.3122 0.5404 0.8699 H
0.4354 0.9391 0.1177 H
0.4596 0.6878 0.6301 H
0.5404 0.3122 0.3699 H
0.5646 0.0609 0.8823 H
0.6878 0.4596 0.1301 H
0.8033 0.8172 0.4454 H
0.8172 0.8033 0.9454 H
0.9391 0.4354 0.6177 H
0.0691 0.3214 0.8187 Ir
0.3214 0.0691 0.3187 Ir
0.6786 0.9309 0.6813 Ir
0.9309 0.6786 0.1813 Ir
```

***

19.
DFT (PBE-GGA) results for a relaxed structure of CaDyNi2H8.

Properties
**Space-group type**: No. 166
**Uncorrected energy**: -47.66 eV per cell
**Calculated volume**: 8.6 Å³/atom

Structure (POSCAR):
```
CaDyNi2H8
1.0
2.2598 1.3047 5.8099
-2.2598 1.3047 5.8099
0.0000 -2.6094 5.8099
Ca Dy Ni H
1 1 2 8
Direct
0.0000 0.0000 0.0000 Ca
0.5000 0.5000 0.5000 Dy
0.2705 0.2705 0.2705 Ni
0.7295 0.7295 0.7295 Ni
0.0518 0.0518 0.5611 H
0.0518 0.5611 0.0518 H
0.3624 0.3624 0.3624 H
0.4389 0.9482 0.9482 H
0.5611 0.0518 0.0518 H
0.6376 0.6376 0.6376 H
0.9482 0.4389 0.9482 H
0.9482 0.9482 0.4389 H
```

***

20.
DFT (PBE-GGA) results for a relaxed structure of Ca2DyH12Rh3.

Properties
**Space-group type**: No. 166
**Uncorrected energy**: -78.33 eV per cell
**Calculated volume**: 9.8 Å³/atom

Structure (POSCAR):
```
Ca2DyH12Rh3
1.0
3.3202 1.9169 4.6353
-3.3202 1.9169 4.6353
0.0000 -3.8338 4.6353
Ca Dy H Rh
2 1 12 3
Direct
0.1194 0.1194 0.1194 Ca
0.8806 0.8806 0.8806 Ca
0.5000 0.5000 0.5000 Dy
0.0850 0.6377 0.6377 H
0.2140 0.2140 0.6179 H
0.2140 0.6179 0.2140 H
0.3623 0.3623 0.9150 H
0.3623 0.9150 0.3623 H
0.3821 0.7860 0.7860 H
0.6179 0.2140 0.2140 H
0.6377 0.0850 0.6377 H
0.6377 0.6377 0.0850 H
0.7860 0.3821 0.7860 H
0.7860 0.7860 0.3821 H
0.9150 0.3623 0.3623 H
0.0000 0.5000 0.5000 Rh
0.5000 0.0000 0.5000 Rh
0.5000 0.5000 0.0000 Rh
```

***

21.
DFT (PBE-GGA) results for a relaxed structure of CaDyH8Rh2.

Properties
**Space-group type**: No. 166
**Uncorrected energy**: -50.83 eV per cell
**Calculated volume**: 10.6 Å³/atom

Structure (POSCAR):
```
CaDyH8Rh2
1.0
2.0233 1.1682 8.9299
-2.0233 1.1682 8.9299
0.0000 -2.3363 8.9299
Ca Dy H Rh
1 1 8 2
Direct
0.0000 0.0000 0.0000 Ca
0.5000 0.5000 0.5000 Dy
0.0207 0.0207 0.5906 H
0.0207 0.5906 0.0207 H
0.3102 0.3102 0.3102 H
0.4094 0.9793 0.9793 H
0.5906 0.0207 0.0207 H
0.6898 0.6898 0.6898 H
0.9793 0.4094 0.9793 H
0.9793 0.9793 0.4094 H
0.2443 0.2443 0.2443 Rh
0.7557 0.7557 0.7557 Rh
```